No. 1
This record from Alexandria via LeMat-Bulk describes an optimized crystal structure of La3Ho2In2. The functional is PBE.

It has space group Cmmm (No. 65), with a = 5.544 Å, b = 22.448 Å, c = 3.330 Å, α = 90.00°, β = 90.00° and γ = 90.00°. The asymmetric unit holds La at (0.000, 0.000, 0.000), La at (0.000, 0.284, 0.000), Ho at (0.000, 0.426, 0.000) and In at (0.000, 0.142, 0.500).

The total energy is -60.02 eV/cell. The density of states at the Fermi level comes out at 1.43 states/eV/atom. The volume is 414 Å³ per cell. The value obtained for the mass density is 7823 kg/m3. The calculation puts the calculated formation energy at -8.2 kJ/mol of atoms.

***

No. 2
This record from Alexandria via LeMat-Bulk describes an optimized crystal structure of Li2LaHo2In2. The functional is PBE.

It has space group R-3m (No. 166, hexagonal axes), with a = 4.9263 Å, b = 4.9263 Å, c = 26.8703 Å, α = 90.00°, β = 90.00° and γ = 120.00°. The asymmetric unit holds Li at (0.0000, 0.0000, 0.0893), La at (0.0000, 0.0000, 0.5000), Ho at (0.0000, 0.0000, 0.3701) and In at (0.0000, 0.0000, 0.2436).

The total energy is -75.30 eV/cell. The density of states at the Fermi level comes out at 0.80 states/eV/atom. The volume is 565 Å³ per cell. The value obtained for the mass density is 6283 kg/m3. The calculation puts the calculated formation energy at -23.6 kJ/mol of atoms.

***

No. 3
This record from Alexandria via LeMat-Bulk describes an optimized crystal structure of LaHoLuIn. The functional is PBE.

It has space group F-43m (No. 216), with a = 7.791 Å, b = 7.791 Å, c = 7.791 Å, α = 90.00°, β = 90.00° and γ = 90.00°. The asymmetric unit holds La at (0.000, 0.000, 0.000), Ho at (0.000, 0.000, 0.500), Lu at (0.250, 0.250, 0.250) and In at (0.250, 0.250, 0.750).

The total energy is -69.63 eV/cell. The density of states at the Fermi level comes out at 1.59 states/eV/atom. The volume is 473 Å³ per cell. The value obtained for the mass density is 8337 kg/m3. The calculation puts the calculated formation energy at -15.5 kJ/mol of atoms.

***

No. 4
This record from Alexandria via LeMat-Bulk describes an optimized crystal structure of LaHoMgIn. The functional is PBE.

It has space group F-43m (No. 216), with a = 7.700 Å, b = 7.700 Å, c = 7.700 Å, α = 90.00°, β = 90.00° and γ = 90.00°. The asymmetric unit holds La at (0.000, 0.000, 0.000), Ho at (0.000, 0.000, 0.500), Mg at (0.250, 0.250, 0.750) and In at (0.250, 0.250, 0.250).

The total energy is -60.51 eV/cell. The density of states at the Fermi level comes out at 0.81 states/eV/atom. The volume is 457 Å³ per cell. The value obtained for the mass density is 6444 kg/m3. The calculation puts the calculated formation energy at -31.1 kJ/mol of atoms.

***

No. 5
This record from Alexandria via LeMat-Bulk describes an optimized crystal structure of LaHoMnIn. The functional is PBE.

It has space group F-43m (No. 216), with a = 7.532 Å, b = 7.532 Å, c = 7.532 Å, α = 90.00°, β = 90.00° and γ = 90.00°. The asymmetric unit holds La at (0.000, 0.000, 0.000), Ho at (0.000, 0.000, 0.500), Mn at (0.250, 0.250, 0.250) and In at (0.250, 0.250, 0.750).

The total energy is -86.80 eV/cell. The density of states at the Fermi level comes out at 1.11 states/eV/atom. The volume is 427 Å³ per cell. The value obtained for the mass density is 7362 kg/m3. The calculation puts the calculated formation energy at -6.9 kJ/mol of atoms.

***

No. 6
This record from Alexandria via LeMat-Bulk describes an optimized crystal structure of La2HoInN. The functional is PBE.

It has space group P4/mmm (No. 123), with a = 5.140 Å, b = 5.140 Å, c = 4.834 Å, α = 90.00°, β = 90.00° and γ = 90.00°. The asymmetric unit holds La at (0.000, 0.500, 0.000), Ho at (0.000, 0.000, 0.500), In at (0.500, 0.500, 0.500) and N at (0.000, 0.000, 0.000).

The total energy is -29.96 eV/cell. The density of states at the Fermi level comes out at 0.57 states/eV/atom. The volume is 128 Å³ per cell. The value obtained for the mass density is 7432 kg/m3.

***

No. 7
This record from Alexandria via LeMat-Bulk describes an optimized crystal structure of LaHoInN3. The functional is PBE.

It has space group P2_1/m (No. 11), with a = 6.731 Å, b = 3.431 Å, c = 9.411 Å, α = 90.00°, β = 95.14° and γ = 90.00°. The asymmetric unit holds La at (0.194, 0.250, 0.243), Ho at (0.335, 0.750, 0.893), In at (0.166, 0.250, 0.594), N at (0.111, 0.250, 0.818), N at (0.196, 0.750, 0.456) and N at (0.404, 0.750, 0.130).

The total energy is -84.06 eV/cell. The volume is 216 Å³ per cell. The value obtained for the mass density is 7068 kg/m3.

***

No. 8
This record from Alexandria via LeMat-Bulk describes an optimized crystal structure of NaLaHoIn. The functional is PBE.

It has space group F-43m (No. 216), with a = 7.810 Å, b = 7.810 Å, c = 7.810 Å, α = 90.00°, β = 90.00° and γ = 90.00°. The asymmetric unit holds Na at (0.000, 0.000, 0.000), La at (0.250, 0.250, 0.750), Ho at (0.250, 0.250, 0.250) and In at (0.000, 0.000, 0.500).

The total energy is -56.55 eV/cell. The density of states at the Fermi level comes out at 1.17 states/eV/atom. The volume is 476 Å³ per cell. The value obtained for the mass density is 6158 kg/m3. The calculation puts the calculated formation energy at -13.9 kJ/mol of atoms.

***

No. 9
This record from Alexandria via LeMat-Bulk describes an optimized crystal structure of LaNdHoIn. The functional is PBE.

It has space group F-43m (No. 216), with a = 7.845 Å, b = 7.845 Å, c = 7.845 Å, α = 90.00°, β = 90.00° and γ = 90.00°. The asymmetric unit holds La at (0.000, 0.000, 0.000), Nd at (0.250, 0.250, 0.250), Ho at (0.250, 0.250, 0.750) and In at (0.000, 0.000, 0.500).

The total energy is -69.74 eV/cell. The density of states at the Fermi level comes out at 1.84 states/eV/atom. The volume is 483 Å³ per cell. The value obtained for the mass density is 7743 kg/m3. The value obtained for the polymorph energy (0 for the lowest one) is 0.058 eV per atom. The calculation puts the calculated formation energy at -10.2 kJ/mol of atoms.

***

No. 10
This record from Alexandria via LeMat-Bulk describes an optimized crystal structure of La2Nd2Ho2In. The functional is PBE.

It has space group C2/m (No. 12), with a = 12.486 Å, b = 3.749 Å, c = 11.655 Å, α = 90.00°, β = 119.26° and γ = 90.00°. The asymmetric unit holds La at (0.182, 0.000, 0.090), Nd at (0.018, 0.000, 0.739), Ho at (0.235, 0.000, 0.613) and In at (0.000, 0.500, 0.500).

The total energy is -63.19 eV/cell. The density of states at the Fermi level comes out at 1.40 states/eV/atom. The volume is 476 Å³ per cell. The value obtained for the mass density is 7054 kg/m3. The calculation puts the calculated formation energy at -4.3 kJ/mol of atoms.

***

No. 11
This record from Alexandria via LeMat-Bulk describes an optimized crystal structure of LaNdHo2In4. The functional is PBE.

It has space group R-3m (No. 166, hexagonal axes), with a = 5.4162 Å, b = 5.4162 Å, c = 26.6027 Å, α = 90.00°, β = 90.00° and γ = 120.00°. The asymmetric unit holds La at (0.0000, 0.0000, 0.0000), Nd at (0.0000, 0.0000, 0.5000), Ho at (0.0000, 0.0000, 0.2500), In at (0.0000, 0.0000, 0.1259) and In at (0.0000, 0.0000, 0.3759).

The total energy is -100.86 eV/cell. The density of states at the Fermi level comes out at 0.49 states/eV/atom. The volume is 676 Å³ per cell. The value obtained for the mass density is 7904 kg/m3. The calculation puts the calculated formation energy at -46.0 kJ/mol of atoms.

***

No. 12
This record from Alexandria via LeMat-Bulk describes an optimized crystal structure of La2NdHoIn2. The functional is PBE.

It has space group Pmc2_1 (No. 26), with a = 5.239 Å, b = 10.310 Å, c = 6.921 Å, α = 90.00°, β = 90.00° and γ = 90.00°. The asymmetric unit holds La at (0.000, 0.057, 0.000), La at (0.500, 0.178, 0.234), Nd at (0.500, 0.458, 0.879), Ho at (0.000, 0.310, 0.601), In at (0.000, 0.381, 0.143) and In at (0.500, 0.148, 0.717).

The total energy is -53.62 eV/cell. The density of states at the Fermi level comes out at 1.13 states/eV/atom. The volume is 374 Å³ per cell. The value obtained for the mass density is 7254 kg/m3. The calculation puts the calculated formation energy at -34.3 kJ/mol of atoms.